# TbHo2Sn9

A relaxed structure of TbHo2Sn9 (PBE, Alexandria via LeMat-Bulk).

abc: 4.790 4.790 13.674
angles: 90.00 90.00 90.00
Atoms (fractional coordinates):
Ho 0.000 0.000 0.333
Sn 0.500 0.000 0.500
Sn 0.500 0.500 0.334
Sn 0.000 0.500 0.500
Sn 0.500 0.000 0.168
Sn 0.500 0.500 0.000
Sn 0.500 0.000 0.832
Sn 0.000 0.500 0.832
Sn 0.000 0.500 0.168
Ho 0.000 0.000 0.667
Sn 0.500 0.500 0.666
Tb 0.000 0.000 0.000

Properties
formation energy from the elements = -4.99 eV/f.u.